(1)
# Pr4TlOs (PBE-GGA, relaxed)
data_Pr4TlOs
_cell_length_a 8.181
_cell_length_b 8.181
_cell_length_c 6.372
_cell_angle_alpha 99.61
_cell_angle_beta 99.61
_cell_angle_gamma 113.37
_space_group_name_H-M_alt 'P 1'
_space_group_IT_number 1
loop_
_space_group_symop_operation_xyz
'x,y,z'
loop_
_atom_site_label
_atom_site_fract_x
_atom_site_fract_y
_atom_site_fract_z
_atom_site_occupancy
Pr1 0.058 0.720 0.951 1
Pr2 0.202 0.355 0.608 1
Pr3 0.280 0.942 0.549 1
Pr4 0.355 0.202 0.108 1
Pr5 0.645 0.798 0.892 1
Pr6 0.720 0.058 0.451 1
Pr7 0.798 0.645 0.392 1
Pr8 0.942 0.280 0.049 1
Tl1 0.377 0.623 0.250 1
Tl2 0.623 0.377 0.750 1
Os1 0.000 0.000 0.250 1
Os2 0.000 0.000 0.750 1
# - Density: 8.53 g/cm³
# - Total energy: -5.649 eV/atom


(2)
# BaInHgAu (PBE-GGA, relaxed)
data_BaInHgAu
_cell_length_a 5.409
_cell_length_b 5.409
_cell_length_c 5.409
_cell_angle_alpha 60.00
_cell_angle_beta 60.00
_cell_angle_gamma 60.00
_space_group_name_H-M_alt 'P 1'
_space_group_IT_number 1
loop_
_space_group_symop_operation_xyz
'x,y,z'
loop_
_atom_site_label
_atom_site_fract_x
_atom_site_fract_y
_atom_site_fract_z
_atom_site_occupancy
Ba1 0.000 0.000 0.000 1
In1 0.500 0.500 0.500 1
Hg1 0.250 0.250 0.250 1
Au1 0.750 0.750 0.750 1
# - Density: 9.64 g/cm³
# - E above lowest polymorph: 0.0 meV per atom


(3)
# Li8PbAu2 (PBE-GGA, relaxed)
data_Li8PbAu2
_cell_length_a 4.477
_cell_length_b 4.477
_cell_length_c 10.487
_cell_angle_alpha 102.22
_cell_angle_beta 102.22
_cell_angle_gamma 60.03
_space_group_name_H-M_alt 'P 1'
_space_group_IT_number 1
loop_
_space_group_symop_operation_xyz
'x,y,z'
loop_
_atom_site_label
_atom_site_fract_x
_atom_site_fract_y
_atom_site_fract_z
_atom_site_occupancy
Li1 0.093 0.093 0.278 1
Li2 0.183 0.183 0.548 1
Li3 0.275 0.275 0.825 1
Li4 0.367 0.367 0.101 1
Li5 0.633 0.633 0.899 1
Li6 0.725 0.725 0.175 1
Li7 0.817 0.817 0.452 1
Li8 0.907 0.907 0.722 1
Pb1 0.000 0.000 0.000 1
Au1 0.454 0.454 0.361 1
Au2 0.546 0.546 0.639 1
# - Density: 6.18 g/cm³
# - Total energy: -2.699 eV/atom


(4)
# TbLu3Pb2C2 (PBE-GGA, relaxed)
data_TbLu3Pb2C2
_cell_length_a 3.576
_cell_length_b 3.576
_cell_length_c 15.815
_cell_angle_alpha 90.00
_cell_angle_beta 90.00
_cell_angle_gamma 120.00
_space_group_name_H-M_alt 'P 1'
_space_group_IT_number 1
loop_
_space_group_symop_operation_xyz
'x,y,z'
loop_
_atom_site_label
_atom_site_fract_x
_atom_site_fract_y
_atom_site_fract_z
_atom_site_occupancy
Tb1 0.000 0.000 0.000 1
Lu1 0.000 0.000 0.337 1
Lu2 0.333 0.667 0.499 1
Lu3 0.333 0.667 0.834 1
Pb1 0.000 0.000 0.666 1
Pb2 0.333 0.667 0.172 1
C1 0.667 0.333 0.418 1
C2 0.667 0.333 0.914 1
# - Density: 10.64 g/cm³
# - Total energy: -6.039 eV/atom


(5)
# YZrTlCu (PBE-GGA, relaxed)
data_YZrTlCu
_cell_length_a 5.030
_cell_length_b 5.030
_cell_length_c 5.030
_cell_angle_alpha 60.00
_cell_angle_beta 60.00
_cell_angle_gamma 60.00
_space_group_name_H-M_alt 'P 1'
_space_group_IT_number 1
loop_
_space_group_symop_operation_xyz
'x,y,z'
loop_
_atom_site_label
_atom_site_fract_x
_atom_site_fract_y
_atom_site_fract_z
_atom_site_occupancy
Y1 0.000 0.000 0.000 1
Zr1 0.250 0.250 0.250 1
Tl1 0.500 0.500 0.500 1
Cu1 0.750 0.750 0.750 1
# - Density: 8.27 g/cm³
# - E above lowest polymorph: 0.0 meV per atom


(6)
# Tb5TlIn3 (PBE-GGA, relaxed)
data_Tb5TlIn3
_cell_length_a 9.352
_cell_length_b 9.352
_cell_length_c 6.666
_cell_angle_alpha 90.00
_cell_angle_beta 90.00
_cell_angle_gamma 120.00
_space_group_name_H-M_alt 'P 1'
_space_group_IT_number 1
loop_
_space_group_symop_operation_xyz
'x,y,z'
loop_
_atom_site_label
_atom_site_fract_x
_atom_site_fract_y
_atom_site_fract_z
_atom_site_occupancy
Tb1 0.000 0.292 0.250 1
Tb2 0.000 0.708 0.750 1
Tb3 0.292 0.000 0.250 1
Tb4 0.292 0.292 0.750 1
Tb5 0.333 0.667 0.000 1
Tb6 0.333 0.667 0.500 1
Tb7 0.667 0.333 0.000 1
Tb8 0.667 0.333 0.500 1
Tb9 0.708 0.000 0.750 1
Tb10 0.708 0.708 0.250 1
Tl1 0.000 0.000 0.000 1
Tl2 0.000 0.000 0.500 1
In1 0.000 0.371 0.750 1
In2 0.000 0.629 0.250 1
In3 0.371 0.000 0.750 1
In4 0.371 0.371 0.250 1
In5 0.629 0.000 0.250 1
In6 0.629 0.629 0.750 1
# - Density: 8.84 g/cm³
# - Total energy: -4.162 eV/atom